No. 1
Material: Na2SbPd2
Method: DFT, PBE
State: optimized geometry

Cell and atoms, written as extended XYZ:
```
10
Lattice="4.888 -2.932 0.000 4.888 2.932 0.000 -1.755 0.000 7.925" Properties=species:S:1:pos:R:3 pbc="T T T"
Na 1.182 0.742 1.219
Na 0.305 -0.742 5.181
Na 7.716 0.742 2.744
Na 6.838 -0.742 6.707
Sb 4.449 0.722 1.981
Sb 3.572 -0.722 5.944
Pd 2.739 0.778 3.962
Pd 6.160 0.778 0.001
Pd 1.861 -0.778 7.924
Pd 5.282 -0.778 3.964
```

Properties
**Energy above the lowest structure with this stoichiometry**: 0 meV/atom
**E_form (uncorrected)**: -0.386 eV per atom
**E**: -3.82 eV/atom

=====

No. 2
Material: BeInCl2
Method: DFT, PBE
State: optimized geometry

Cell and atoms, written as extended XYZ:
```
4
Lattice="2.813 -1.623 0.000 2.813 1.623 0.000 -0.479 0.000 11.829" Properties=species:S:1:pos:R:3 pbc="T T T"
Be 0.000 0.000 0.000
In 2.574 0.000 5.915
Cl 1.397 0.000 10.568
Cl 3.750 0.000 1.261
```

Properties
**Energy above the lowest structure with this stoichiometry**: 2 meV/atom
**E_form (uncorrected)**: -0.745 eV per atom
**E**: -3.28 eV/atom

=====

No. 3
Material: NdThB12
Method: DFT, PBE
State: optimized geometry

Cell and atoms, written as extended XYZ:
```
14
Lattice="4.122 0.000 0.000 0.000 4.122 0.000 0.000 0.000 8.251" Properties=species:S:1:pos:R:3 pbc="T T T"
Nd 0.000 0.000 0.000
Th 0.000 0.000 4.125
B 0.817 2.061 2.066
B 0.817 2.061 6.185
B 2.061 0.817 2.066
B 2.061 0.817 6.185
B 2.061 2.061 0.822
B 2.061 2.061 3.309
B 2.061 2.061 4.942
B 2.061 2.061 7.429
B 2.061 3.304 2.066
B 2.061 3.304 6.185
B 3.304 2.061 2.066
B 3.304 2.061 6.185
```

Properties
**Energy relative to the elements**: -0.48 eV per atom
**E**: -7.07 eV/atom

=====

No. 4
Material: La12Hg3N4
Method: DFT, PBE
State: optimized geometry

Cell and atoms, written as extended XYZ:
```
19
Lattice="-5.108 5.108 5.108 5.108 -5.108 5.108 5.108 5.108 -5.108" Properties=species:S:1:pos:R:3 pbc="T T T"
La 5.108 -2.396 2.672
La 2.712 2.436 0.000
La 7.505 2.436 0.000
La 2.672 5.108 -2.396
La 2.436 0.000 2.712
La 5.108 2.396 2.672
La 0.000 2.712 2.436
La 2.672 5.108 2.396
La 2.436 0.000 7.505
La -2.396 2.672 5.108
La 2.396 2.672 5.108
La 0.000 7.505 2.436
Hg 5.108 0.000 0.000
Hg 0.000 5.108 0.000
Hg 0.000 0.000 5.108
N 2.554 2.554 -2.554
N 2.554 -2.554 2.554
N -2.554 2.554 2.554
N 2.554 2.554 2.554
```

Properties
**E_form (uncorrected)**: -0.696 eV per atom
**E**: -5.61 eV/atom

=====

No. 5
Material: MnSi2Au
Method: DFT, PBE
State: optimized geometry

Cell and atoms, written as extended XYZ:
```
4
Lattice="2.911 0.000 0.000 0.000 2.911 0.000 0.000 0.000 6.467" Properties=species:S:1:pos:R:3 pbc="T T T"
Mn 0.000 0.000 0.000
Si 1.456 1.456 1.293
Si 1.456 1.456 5.174
Au 0.000 0.000 3.234
```

Properties
**Energy above the lowest structure with this stoichiometry**: 197 meV/atom
**E_form (uncorrected)**: 0.054 eV per atom
**E**: -5.77 eV/atom

=====

No. 6
Material: ZrIn2W
Method: DFT, PBE
State: optimized geometry

Cell and atoms, written as extended XYZ:
```
4
Lattice="1.538 0.888 10.345 -1.538 0.888 10.345 0.000 -1.776 10.345" Properties=species:S:1:pos:R:3 pbc="T T T"
Zr 0.000 0.000 0.000
In 0.000 0.000 15.779
In 0.000 0.000 23.350
W 0.000 0.000 7.815
```

Properties
**Energy above the lowest structure with this stoichiometry**: 168 meV/atom
**Energy relative to the elements**: 0.38 eV per atom
**E**: -6.37 eV/atom

=====

No. 7
Material: La2Sm7Er
Method: DFT, PBE
State: optimized geometry

Cell and atoms, written as extended XYZ:
```
10
Lattice="3.361 -14.688 0.000 3.361 14.688 0.000 0.000 0.000 3.504" Properties=species:S:1:pos:R:3 pbc="T T T"
La 3.361 8.688 0.000
La 3.361 -8.688 0.000
Sm 0.000 0.000 0.000
Sm 1.724 2.854 0.000
Sm 3.361 5.474 1.752
Sm 1.724 -2.854 0.000
Sm 4.998 2.854 0.000
Sm 3.361 -5.474 1.752
Sm 4.998 -2.854 0.000
Er 3.361 0.000 1.752
```

Properties
**Energy above the lowest structure with this stoichiometry**: 126 meV/atom
**Energy relative to the elements**: 0.15 eV per atom
**E**: -4.60 eV/atom

=====

No. 8
Material: La3GeBr
Method: DFT, PBE
State: optimized geometry

Cell and atoms, written as extended XYZ:
```
5
Lattice="5.858 0.000 0.000 0.000 5.858 0.000 0.000 0.000 5.858" Properties=species:S:1:pos:R:3 pbc="T T T"
La 0.000 0.000 2.929
La 0.000 2.929 0.000
La 2.929 0.000 0.000
Ge 0.000 0.000 0.000
Br 2.929 2.929 2.929
```

Properties
**Energy above the lowest structure with this stoichiometry**: 534 meV/atom
**E_form (uncorrected)**: -0.306 eV per atom
**E**: -4.52 eV/atom

=====

No. 9
Material: Sc4SnTeC
Method: DFT, PBE
State: optimized geometry

Cell and atoms, written as extended XYZ:
```
14
Lattice="3.160 -7.438 0.000 3.160 7.438 0.000 0.000 0.000 6.325" Properties=species:S:1:pos:R:3 pbc="T T T"
Sc 1.580 3.719 0.000
Sc 1.580 3.719 3.163
Sc 3.160 6.008 4.744
Sc 3.160 1.460 4.744
Sc 1.580 -3.719 0.000
Sc 1.580 -3.719 3.163
Sc 3.160 -1.460 1.581
Sc 3.160 -6.008 1.581
Sn 3.160 5.878 1.581
Sn 3.160 -5.878 4.744
Te 3.160 1.563 1.581
Te 3.160 -1.563 4.744
C 3.160 3.734 4.744
C 3.160 -3.734 1.581
```

Properties
**E_form (uncorrected)**: -0.792 eV per atom
**E**: -6.75 eV/atom

=====

No. 10
Material: SmMgCo
Method: DFT, PBE
State: optimized geometry

Cell and atoms, written as extended XYZ:
```
6
Lattice="3.992 -1.962 0.000 3.992 1.962 0.000 -2.308 0.000 9.150" Properties=species:S:1:pos:R:3 pbc="T T T"
Sm 1.299 0.000 2.254
Sm 4.377 0.000 6.896
Mg -1.154 0.000 4.575
Mg 3.992 0.000 0.000
Co -0.750 0.000 8.548
Co 6.426 0.000 0.602
```

Properties
**Energy relative to the elements**: 0.08 eV per atom
**E**: -4.39 eV/atom

=====

No. 11
Material: FeTe2IBr
Method: DFT, PBE
State: optimized geometry

Cell and atoms, written as extended XYZ:
```
5
Lattice="5.000 0.000 0.000 0.000 5.000 0.000 0.000 0.000 5.447" Properties=species:S:1:pos:R:3 pbc="T T T"
Fe 0.000 0.000 0.000
Te 0.000 2.500 0.000
Te 2.500 0.000 0.000
I 0.000 0.000 2.723
Br 2.500 2.500 2.723
```

Properties
**E_form (uncorrected)**: 0.378 eV per atom
**E**: -3.22 eV/atom

=====

No. 12
Material: RbCdSi2
Method: DFT, PBE
State: optimized geometry

Cell and atoms, written as extended XYZ:
```
8
Lattice="-2.534 2.534 9.484 2.534 -2.534 9.484 2.534 2.534 -9.484" Properties=species:S:1:pos:R:3 pbc="T T T"
Rb 2.534 1.267 2.371
Rb 0.000 1.267 7.113
Cd 2.534 -1.267 7.113
Cd 0.000 3.801 2.371
Si 0.000 0.000 0.000
Si 1.267 1.267 -4.742
Si 1.267 -1.267 4.742
Si 0.000 2.534 0.000
```

Properties
**E_form (uncorrected)**: 0.351 eV per atom
**E**: -2.83 eV/atom

=====

No. 13
Material: Mg2FeHg
Method: DFT, PBE
State: optimized geometry

Cell and atoms, written as extended XYZ:
```
4
Lattice="5.081 -1.596 0.000 5.081 1.596 0.000 -1.846 0.000 4.485" Properties=species:S:1:pos:R:3 pbc="T T T"
Mg 1.979 0.000 1.060
Mg 6.336 0.000 3.425
Fe 5.081 0.000 0.000
Hg -0.923 0.000 2.242
```

Properties
**Energy relative to the elements**: 0.20 eV per atom
**E**: -2.79 eV/atom

=====

No. 14
Material: AgSbTe3Au
Method: DFT, PBE
State: optimized geometry

Cell and atoms, written as extended XYZ:
```
12
Lattice="8.468 0.000 0.000 0.000 4.417 0.000 -0.840 0.000 9.242" Properties=species:S:1:pos:R:3 pbc="T T T"
Ag 1.092 1.104 1.497
Ag 6.537 3.313 7.745
Sb 2.299 3.313 7.651
Sb 5.330 1.104 1.591
Te 0.167 1.104 7.902
Te 1.441 1.104 4.315
Te 3.129 3.313 1.310
Te 4.500 1.104 7.931
Te 6.187 3.313 4.927
Te 7.462 3.313 1.339
Au 2.968 3.313 4.626
Au 4.661 1.104 4.615
```

Properties
**E_form (uncorrected)**: -0.056 eV per atom
**E**: -3.34 eV/atom

=====

No. 15
Material: Be3BiSe
Method: DFT, PBE
State: optimized geometry

Cell and atoms, written as extended XYZ:
```
5
Lattice="4.825 0.000 0.000 0.000 4.825 0.000 0.000 0.000 4.825" Properties=species:S:1:pos:R:3 pbc="T T T"
Be 0.000 0.000 2.413
Be 0.000 2.413 0.000
Be 2.413 0.000 0.000
Bi 0.000 0.000 0.000
Se 2.413 2.413 2.413
```

Properties
**Energy above the lowest structure with this stoichiometry**: 451 meV/atom
**E_form (uncorrected)**: 1.206 eV per atom
**E**: -2.50 eV/atom

=====

No. 16
Material: LuZnGaIr
Method: DFT, PBE
State: optimized geometry

Cell and atoms, written as extended XYZ:
```
4
Lattice="0.000 3.203 3.203 3.203 0.000 3.203 3.203 3.203 0.000" Properties=species:S:1:pos:R:3 pbc="T T T"
Lu 0.000 0.000 0.000
Zn 1.601 1.601 1.601
Ga 4.804 4.804 4.804
Ir 3.203 3.203 3.203
```

Properties
**Energy relative to the elements**: -0.53 eV per atom
**E**: -4.95 eV/atom

=====

No. 17
Material: Pr2BeGe2Au4
Method: DFT, PBE
State: optimized geometry

Cell and atoms, written as extended XYZ:
```
9
Lattice="-3.147 3.147 4.725 3.147 -3.147 4.725 3.147 3.147 -4.725" Properties=species:S:1:pos:R:3 pbc="T T T"
Pr 3.147 0.000 2.363
Pr 0.000 3.147 2.363
Be 0.000 0.000 0.000
Ge 0.000 0.000 2.866
Ge 0.000 0.000 6.585
Au 1.630 1.630 0.000
Au 1.517 -1.517 4.725
Au 1.630 4.665 0.000
Au 1.517 1.517 4.725
```

Properties
**Energy relative to the elements**: -0.50 eV per atom
**E**: -4.46 eV/atom

=====

No. 18
Material: LiZn2Ge
Method: DFT, PBE
State: optimized geometry

Cell and atoms, written as extended XYZ:
```
16
Lattice="-2.020 4.397 8.374 2.020 -4.397 8.374 2.020 4.397 -8.374" Properties=species:S:1:pos:R:3 pbc="T T T"
Li 0.000 0.000 3.271
Li 0.000 2.061 0.000
Li 0.000 6.733 0.000
Li 0.000 0.000 13.477
Zn 2.020 0.000 1.194
Zn 2.020 -1.324 4.846
Zn 0.000 0.000 7.057
Zn 2.020 1.324 4.846
Zn 0.000 3.073 3.528
Zn 0.000 0.000 9.691
Zn 0.000 5.721 3.528
Zn 0.000 4.397 7.180
Ge 2.020 2.138 -2.319
Ge 2.020 2.138 2.319
Ge 0.000 2.259 6.055
Ge 0.000 2.259 10.693
```

Properties
**Energy relative to the elements**: -0.04 eV per atom
**E**: -2.31 eV/atom

=====

No. 19
Material: Sr6Tl3Hg
Method: DFT, PBE
State: optimized geometry

Cell and atoms, written as extended XYZ:
```
20
Lattice="10.155 0.000 0.000 0.000 5.832 0.000 -4.611 0.000 12.399" Properties=species:S:1:pos:R:3 pbc="T T T"
Sr -1.713 1.458 5.072
Sr 0.874 4.374 2.112
Sr 2.580 1.458 0.007
Sr -0.333 4.374 10.287
Sr 2.171 1.458 4.430
Sr 0.873 1.458 7.933
Sr 4.672 4.374 4.467
Sr 3.374 4.374 7.970
Sr 5.878 1.458 2.113
Sr 2.964 4.374 12.392
Sr 4.671 1.458 10.287
Sr 7.257 4.374 7.327
Tl -3.757 4.374 10.866
Tl -2.352 1.458 8.949
Tl 0.526 4.374 5.872
Tl 5.019 1.458 6.527
Tl 7.896 4.374 3.451
Tl 9.301 1.458 1.534
Hg 4.137 4.374 1.225
Hg 1.407 1.458 11.174
```

Properties
**Energy relative to the elements**: -0.36 eV per atom
**E**: -2.10 eV/atom

=====

No. 20
Material: Li3Ac2Sn4Hg
Method: DFT, PBE
State: optimized geometry

Cell and atoms, written as extended XYZ:
```
10
Lattice="4.659 0.000 0.000 0.000 4.659 0.000 0.000 0.000 11.695" Properties=species:S:1:pos:R:3 pbc="T T T"
Li 0.000 0.000 0.000
Li 0.000 2.329 7.344
Li 2.329 0.000 4.351
Ac 0.000 2.329 2.965
Ac 2.329 0.000 8.730
Sn 0.000 0.000 5.847
Sn 0.000 2.329 9.981
Sn 2.329 0.000 1.714
Sn 2.329 2.329 5.847
Hg 2.329 2.329 0.000
```

Properties
**Energy relative to the elements**: -0.56 eV per atom
**E**: -3.59 eV/atom

=====

No. 21
Material: TeIr2F
Method: DFT, PBE
State: optimized geometry

Cell and atoms, written as extended XYZ:
```
8
Lattice="-3.357 3.357 2.874 3.357 -3.357 2.874 3.357 3.357 -2.874" Properties=species:S:1:pos:R:3 pbc="T T T"
Te 0.000 0.000 0.000
Te 0.000 3.357 1.437
Ir 1.679 -1.556 2.155
Ir 1.801 1.679 0.718
Ir 1.679 4.914 -0.718
Ir 1.556 1.679 3.592
F 3.357 0.000 1.437
F 0.000 0.000 2.874
```

Properties
**Energy above the lowest structure with this stoichiometry**: 191 meV/atom
**E_form (uncorrected)**: 0.281 eV per atom
**E**: -5.40 eV/atom

=====

No. 22
Material: Re2NiPt
Method: DFT, PBE
State: optimized geometry

Cell and atoms, written as extended XYZ:
```
4
Lattice="4.506 -1.332 0.000 4.506 1.332 0.000 -0.732 0.000 4.742" Properties=species:S:1:pos:R:3 pbc="T T T"
Re 0.000 0.000 0.000
Re 1.640 0.000 3.593
Ni 4.142 0.000 2.436
Pt 6.529 0.000 1.283
```

Properties
**Energy above the lowest structure with this stoichiometry**: 41 meV/atom
**Energy relative to the elements**: -0.01 eV per atom
**E**: -9.18 eV/atom

=====

No. 23
Material: AcSm2Ho8
Method: DFT, PBE
State: optimized geometry

Cell and atoms, written as extended XYZ:
```
11
Lattice="9.649 -3.541 0.000 9.649 3.541 0.000 -0.293 0.000 5.495" Properties=species:S:1:pos:R:3 pbc="T T T"
Ac 0.000 0.000 0.000
Sm 5.288 0.000 4.138
Sm 13.717 0.000 1.357
Ho 6.966 1.631 1.484
Ho 3.592 0.000 1.289
Ho 12.039 1.631 4.012
Ho 8.530 0.000 4.175
Ho 10.475 0.000 1.320
Ho 6.966 -1.631 1.484
Ho 15.413 0.000 4.206
Ho 12.039 -1.631 4.012
```

Properties
**Energy relative to the elements**: 0.13 eV per atom
**E**: -4.43 eV/atom

=====

No. 24
Material: MoOsPt
Method: DFT, PBE
State: optimized geometry

Cell and atoms, written as extended XYZ:
```
3
Lattice="-1.389 1.389 5.911 1.389 -1.389 5.911 1.389 1.389 -5.911" Properties=species:S:1:pos:R:3 pbc="T T T"
Mo 0.000 0.000 0.000
Os 0.000 0.000 7.725
Pt 0.000 0.000 3.879
```

Properties
**Energy above the lowest structure with this stoichiometry**: 124 meV/atom
**Energy relative to the elements**: -0.08 eV per atom
**E**: -9.45 eV/atom